An optimized crystal structure of MnAg2BrO. Source: Alexandria via LeMat-Bulk, functional GGA+U.

a b c (Å): 5.0913 5.0913 5.2056
angles (deg): 90.00 90.00 90.00
Space group P4/mmm (No. 123)
One atom of each set of equivalent atoms:
1 Mn 0.0000 0.0000 0.0000 [1 per cell]
2 Ag 0.0000 0.5000 0.5000 [2 per cell]
3 Br 0.0000 0.0000 0.5000 [1 per cell]
4 O 0.5000 0.5000 0.0000 [1 per cell]

Total magnetization   5.6 μB per cell
Electronic total energy   -3.001 eV/atom